# 1
Zn2CuCl (GGA-PBE, optimized geometry); energy relative to the elements, uncorrected = 134 meV per atom; E above lowest polymorph = 0.2371 eV/atom; final energy = -1.99 eV per atom; DOS(E_F) = 0.261 states/eV/atom; calculated density = 5.1 Mg/m³
1.0
3.5598 0.0000 0.0000
0.0000 3.5598 0.0000
0.0000 0.0000 5.8796
Zn Cu Cl
2 1 1
direct
0.0000 0.5000 0.0000
0.5000 0.0000 0.0000
0.0000 0.0000 0.5000
0.5000 0.5000 0.5000

***

# 2
CeMg2Zn6 (GGA-PBE, optimized geometry); energy of formation = -0.112 eV per atom; final energy = -1.98 eV per atom; DOS(E_F) = 0.744 states/eV/atom; calculated density = 5.8 Mg/m³
1.0
8.0318 0.0000 0.0000
-4.0159 6.9557 0.0000
0.0000 0.0000 2.9797
Ce Mg Zn
1 2 6
direct
0.0000 0.0000 0.0000
0.3333 0.6667 0.0000
0.6667 0.3333 0.0000
0.0000 0.3410 0.5000
0.0000 0.6590 0.5000
0.3410 0.0000 0.5000
0.3410 0.3410 0.5000
0.6590 0.0000 0.5000
0.6590 0.6590 0.5000

***

# 3
SrCo2Mo (GGA-PBE, optimized geometry); energy of formation = 1.080 eV per atom; final energy = -5.60 eV per atom; DOS(E_F) = 1.514 states/eV/atom; calculated density = 7.8 Mg/m³
1.0
6.3676 0.0000 0.0000
0.0000 6.3676 0.0000
0.0000 0.0000 6.3676
Sr Co Mo
4 8 4
direct
0.0000 0.0000 0.0000
0.0000 0.5000 0.5000
0.5000 0.0000 0.5000
0.5000 0.5000 0.0000
0.0000 0.0000 0.5000
0.0000 0.5000 0.0000
0.2500 0.2500 0.2500
0.2500 0.7500 0.7500
0.5000 0.0000 0.0000
0.5000 0.5000 0.5000
0.7500 0.2500 0.7500
0.7500 0.7500 0.2500
0.2500 0.2500 0.7500
0.2500 0.7500 0.2500
0.7500 0.2500 0.2500
0.7500 0.7500 0.7500